No. 1
Entry from Alexandria: crystalline ScTa2Ni at its relaxed geometry (PBE).

Total moment (Bohr magnetons per cell): 0.00
V (Å³ per atom): 17.355
DOS at the Fermi energy (states/eV per cell): 3.14
Formation enthalpy at 0 K (eV/atom): 0.032
Relative energy among the computed polymorphs (eV per atom): 0.096
Space-group type: P4/mmm
VASP energy (eV/atom): -8.92

Cell and atoms, written as POSCAR:
```
ScTa2Ni
1.0
2.950 0.000 0.000
0.000 2.950 0.000
0.000 0.000 7.976
Sc Ta Ni
1 2 1
Cartesian
0.000 0.000 0.000 Sc
1.475 1.475 2.289 Ta
1.475 1.475 5.687 Ta
0.000 0.000 3.988 Ni
```

=====

No. 2
Entry from Alexandria: crystalline ScTa2Ni at its relaxed geometry (PBE).

Total moment (Bohr magnetons per cell): 0.00
V (Å³ per atom): 17.465
DOS at the Fermi energy (states/eV per cell): 3.23
Formation enthalpy at 0 K (eV/atom): -0.064
Relative energy among the computed polymorphs (eV per atom): 0.000
Space-group type: P4mm
VASP energy (eV/atom): -9.02

Cell and atoms, written as POSCAR:
```
ScTa2Ni
1.0
3.005 0.000 0.000
0.000 3.005 0.000
0.000 0.000 7.737
Sc Ta Ni
1 2 1
Cartesian
0.000 0.000 0.000 Sc
0.000 0.000 4.358 Ta
1.502 1.502 2.261 Ta
1.502 1.502 5.870 Ni
```

=====

No. 3
Entry from Alexandria: crystalline ScTa2Ni at its relaxed geometry (PBE).

Total moment (Bohr magnetons per cell): 0.00
V (Å³ per atom): 18.367
DOS at the Fermi energy (states/eV per cell): 13.35
Formation enthalpy at 0 K (eV/atom): 0.426
Relative energy among the computed polymorphs (eV per atom): 0.489
Space-group type: I-42d
VASP energy (eV/atom): -8.53

Cell and atoms, written as POSCAR:
```
ScTa2Ni
1.0
-1.904 1.904 10.131
1.904 -1.904 10.131
1.904 1.904 -10.131
Sc Ta Ni
2 4 2
Cartesian
0.000 0.000 0.000 Sc
0.000 1.904 5.066 Sc
0.952 -0.931 7.599 Ta
0.973 0.952 2.533 Ta
0.952 2.835 -2.533 Ta
0.931 0.952 12.664 Ta
1.904 0.000 5.066 Ni
0.000 0.000 10.131 Ni
```

=====

No. 4
Entry from Alexandria: crystalline ScTaNi5 at its relaxed geometry (PBE).

Total moment (Bohr magnetons per cell): 0.00
V (Å³ per atom): 14.182
DOS at the Fermi energy (states/eV per cell): 5.97
Formation enthalpy at 0 K (eV/atom): -0.217
Space-group type: P4/mmm
VASP energy (eV/atom): -6.94

Cell and atoms, written as POSCAR:
```
ScTaNi5
1.0
3.585 0.000 0.000
0.000 3.585 0.000
0.000 0.000 7.725
Sc Ta Ni
1 1 5
Cartesian
0.000 0.000 0.000 Sc
1.792 1.792 3.863 Ta
0.000 0.000 3.863 Ni
0.000 1.792 2.013 Ni
0.000 1.792 5.712 Ni
1.792 0.000 2.013 Ni
1.792 0.000 5.712 Ni
```

=====

No. 5
Entry from Alexandria: crystalline Sc3TaNi8 at its relaxed geometry (PBE).

Total moment (Bohr magnetons per cell): 0.00
V (Å³ per atom): 13.550
DOS at the Fermi energy (states/eV per cell): 8.40
Formation enthalpy at 0 K (eV/atom): -0.430
Space-group type: R3m
VASP energy (eV/atom): -6.85

Cell and atoms, written as POSCAR:
```
Sc3TaNi8
1.0
2.428 1.402 7.964
-2.428 1.402 7.964
0.000 -2.803 7.964
Sc Ta Ni
3 1 8
Cartesian
0.000 0.000 0.000 Sc
0.000 0.000 3.002 Sc
0.000 0.000 14.981 Sc
0.000 0.000 12.020 Ta
0.000 -1.390 5.451 Ni
-1.204 0.695 5.451 Ni
-1.205 -0.696 9.523 Ni
0.000 0.000 7.494 Ni
1.204 0.695 5.451 Ni
1.205 -0.696 9.523 Ni
0.000 1.391 9.523 Ni
0.000 0.000 19.429 Ni
```

=====

No. 6
Entry from Alexandria: crystalline Sc2TaNi at its relaxed geometry (PBE).

Total moment (Bohr magnetons per cell): 0.00
V (Å³ per atom): 18.181
DOS at the Fermi energy (states/eV per cell): 5.55
Formation enthalpy at 0 K (eV/atom): 0.134
Relative energy among the computed polymorphs (eV per atom): 0.259
Space-group type: P4/mmm
VASP energy (eV/atom): -7.44

Cell and atoms, written as POSCAR:
```
Sc2TaNi
1.0
4.236 0.000 0.000
0.000 4.236 0.000
0.000 0.000 4.052
Sc Ta Ni
2 1 1
Cartesian
0.000 2.118 0.000 Sc
2.118 0.000 0.000 Sc
0.000 0.000 2.026 Ta
2.118 2.118 2.026 Ni
```